No. 1
{"formula": "Rb2Ga2Ir", "functional": "GGA-PBE", "state": "relaxed", "lattice": [[-6.526, -0.014, 2.300], [-0.134, -6.906, -0.423], [2.105, -0.406, 5.968]], "species": ["Ir", "Ir", "Ga", "Ga", "Ga", "Ga", "Rb", "Rb", "Rb", "Rb"], "fractional_positions": [[0.000, 0.000, 0.000], [0.500, 0.500, 0.000], [0.274, 0.774, 0.000], [0.774, 0.726, 0.000], [0.726, 0.226, 0.000], [0.226, 0.274, 0.000], [0.174, 0.674, 0.500], [0.674, 0.826, 0.500], [0.826, 0.326, 0.500], [0.326, 0.174, 0.500]], "de_polymorph_mev_per_atom": 0, "e_form_ev_per_atom": 0.04, "m_tot_mub_per_cell": 0.00}

No. 2
{"formula": "RbGa2Ir2", "functional": "GGA-PBE", "state": "relaxed", "lattice": [[7.885, 0.000, 0.000], [0.000, 7.885, 0.000], [0.000, 0.000, 2.884]], "species": ["Ir", "Ir", "Ir", "Ir", "Ga", "Ga", "Ga", "Ga", "Rb", "Rb"], "fractional_positions": [[0.359, 0.859, 0.000], [0.859, 0.641, 0.000], [0.641, 0.141, 0.000], [0.141, 0.359, 0.000], [0.144, 0.644, 0.500], [0.644, 0.856, 0.500], [0.856, 0.356, 0.500], [0.356, 0.144, 0.500], [0.000, 0.000, 0.000], [0.500, 0.500, 0.000]], "de_polymorph_mev_per_atom": 17, "e_form_ev_per_atom": 0.00, "m_tot_mub_per_cell": 0.00}

No. 3
{"formula": "RbGa2Ir2", "functional": "GGA-PBE", "state": "relaxed", "lattice": [[-3.106, -0.406, -3.149], [-1.154, -3.959, 1.649], [-5.594, 0.127, 2.370]], "species": ["Ir", "Ir", "Ga", "Ga", "Rb"], "fractional_positions": [[0.378, 0.378, 0.244], [0.622, 0.622, 0.756], [0.750, 0.250, 0.500], [0.250, 0.750, 0.500], [0.000, 0.000, 0.000]], "de_polymorph_mev_per_atom": 0, "e_form_ev_per_atom": -0.01, "m_tot_mub_per_cell": 0.00}

No. 4
{"formula": "RbGaIr3", "functional": "GGA-PBE", "state": "relaxed", "lattice": [[-4.849, 0.849, -0.442], [-0.845, -2.725, 4.036], [0.450, 4.035, 2.819]], "species": ["Ir", "Ir", "Ir", "Ga", "Rb"], "fractional_positions": [[0.000, 0.500, 0.000], [0.000, 0.000, 0.500], [0.500, 0.000, 0.000], [0.500, 0.500, 0.500], [0.000, 0.000, 0.000]], "e_form_ev_per_atom": 3.14, "m_tot_mub_per_cell": 2.68}

No. 5
{"formula": "RbGa9Ir2", "functional": "GGA-PBE", "state": "relaxed", "lattice": [[4.004, 0.000, 0.000], [0.000, 8.290, 0.000], [0.000, -4.145, 7.179]], "species": ["Rb", "Ga", "Ga", "Ga", "Ga", "Ga", "Ga", "Ga", "Ga", "Ga", "Ir", "Ir"], "fractional_positions": [[0.000, 0.000, 0.000], [0.500, 0.794, 0.206], [0.000, 0.000, 0.500], [0.000, 0.500, 0.500], [0.500, 0.794, 0.588], [0.500, 0.206, 0.794], [0.500, 0.588, 0.794], [0.500, 0.206, 0.412], [0.000, 0.500, 0.000], [0.500, 0.412, 0.206], [0.000, 0.667, 0.333], [0.000, 0.333, 0.667]], "e_form_ev_per_atom": -0.31, "m_tot_mub_per_cell": 0.00}

No. 6
{"formula": "RbGa3Ir", "functional": "GGA-PBE", "state": "relaxed", "lattice": [[-4.529, -1.333, 1.399], [1.643, -4.534, 0.997], [1.018, 1.384, 4.615]], "species": ["Ir", "Ga", "Ga", "Ga", "Rb"], "fractional_positions": [[0.000, 0.000, 0.000], [0.000, 0.500, 0.000], [0.000, 0.000, 0.500], [0.500, 0.000, 0.000], [0.500, 0.500, 0.500]], "de_polymorph_mev_per_atom": 8, "e_form_ev_per_atom": -0.24, "m_tot_mub_per_cell": 0.00}

No. 7
{"formula": "RbScGaIr2", "functional": "GGA-PBE", "state": "relaxed", "lattice": [[-2.636, 4.051, 0.267], [-4.705, -2.967, -1.419], [-0.863, -0.871, 4.682]], "species": ["Sc", "Ir", "Ir", "Ga", "Rb"], "fractional_positions": [[0.000, 0.000, 0.000], [0.000, 0.000, 0.500], [0.500, 0.000, 0.000], [0.500, 0.500, 0.500], [0.000, 0.500, 0.000]], "e_form_ev_per_atom": 1.07, "m_tot_mub_per_cell": 0.00}

No. 8
{"formula": "RbSrGa2Ir", "functional": "GGA-PBE", "state": "relaxed", "lattice": [[4.984, 0.000, 0.000], [0.000, 4.984, 0.000], [0.000, 0.000, 5.747]], "species": ["Sr", "Ir", "Ga", "Ga", "Rb"], "fractional_positions": [[0.000, 0.000, 0.500], [0.000, 0.000, 0.000], [0.000, 0.500, 0.000], [0.500, 0.000, 0.000], [0.500, 0.500, 0.500]], "e_form_ev_per_atom": -0.21, "m_tot_mub_per_cell": 0.00}

No. 9
{"formula": "RbTlGa2Ir", "functional": "GGA-PBE", "state": "relaxed", "lattice": [[4.927, 0.000, 0.000], [0.000, 4.927, 0.000], [0.000, 0.000, 5.454]], "species": ["Tl", "Ir", "Ga", "Ga", "Rb"], "fractional_positions": [[0.000, 0.000, 0.500], [0.000, 0.000, 0.000], [0.000, 0.500, 0.000], [0.500, 0.000, 0.000], [0.500, 0.500, 0.500]], "e_form_ev_per_atom": -0.13, "m_tot_mub_per_cell": 0.00}

No. 10
{"formula": "RbZn2GaIr", "functional": "GGA-PBE", "state": "relaxed", "lattice": [[5.009, 0.000, 0.000], [0.000, 5.009, 0.000], [0.000, 0.000, 4.827]], "species": ["Zn", "Zn", "Ir", "Ga", "Rb"], "fractional_positions": [[0.000, 0.500, 0.000], [0.500, 0.000, 0.000], [0.000, 0.000, 0.000], [0.000, 0.000, 0.500], [0.500, 0.500, 0.500]], "e_form_ev_per_atom": -0.22, "m_tot_mub_per_cell": 0.00}

No. 11
{"formula": "Ga6ReIr", "functional": "GGA-PBE", "state": "relaxed", "lattice": [[-2.395, 0.568, -4.784], [3.039, -4.410, -0.513], [-3.956, -1.453, 3.341]], "species": ["Ga", "Ga", "Ga", "Ga", "Ga", "Ga", "Re", "Ir"], "fractional_positions": [[0.216, 0.216, 0.686], [0.686, 0.216, 0.216], [0.784, 0.784, 0.314], [0.784, 0.314, 0.784], [0.314, 0.784, 0.784], [0.216, 0.686, 0.216], [0.000, 0.000, 0.000], [0.500, 0.500, 0.500]], "e_form_ev_per_atom": 0.00, "m_tot_mub_per_cell": 0.00}

No. 12
{"formula": "GaRe2Ir2", "functional": "GGA-PBE", "state": "relaxed", "lattice": [[-3.182, -1.127, 1.747], [-0.739, -2.372, -2.877], [1.069, -6.032, 2.188]], "species": ["Re", "Re", "Ir", "Ir", "Ga"], "fractional_positions": [[0.398, 0.398, 0.204], [0.602, 0.602, 0.796], [0.750, 0.250, 0.500], [0.250, 0.750, 0.500], [0.000, 0.000, 0.000]], "de_polymorph_mev_per_atom": 237, "e_form_ev_per_atom": 0.44, "m_tot_mub_per_cell": 0.00}